(1)
An optimized crystal structure of RbPuV2O8. Source: Alexandria, functional PBE+U.

abc: 5.6300 5.6300 8.3211
angles: 88.41 88.41 63.31
Element x y z (fractional)
1 V 0.3590 0.3590 0.7881
2 V 0.6410 0.6410 0.2119
3 O 0.2097 0.7086 0.8226
4 O 0.7886 0.7886 0.0784
5 O 0.6886 0.6886 0.4005
6 O 0.7086 0.2097 0.8226
7 O 0.2914 0.7903 0.1774
8 O 0.2114 0.2114 0.9216
9 O 0.3114 0.3114 0.5995
10 O 0.7903 0.2914 0.1774
11 Pu 0.0000 0.0000 0.0000
12 Rb 0.0000 0.0000 0.5000

Results
**Final energy**: -8.001 eV per atom

(2)
An optimized crystal structure of Rb2PuVO6. Source: Alexandria, functional PBE+U.

abc: 5.8785 5.8785 5.8865
angles: 60.04 60.04 90.00
Element x y z (fractional)
1 O 0.2194 0.2194 0.5612
2 O 0.7806 0.7806 0.4388
3 O 0.2578 0.7422 0.0000
4 O 0.7422 0.2578 0.0000
5 O 0.2578 0.2578 0.0000
6 O 0.7422 0.7422 0.0000
7 V 0.0000 0.0000 0.0000
8 Rb 0.2500 0.7500 0.5000
9 Rb 0.7500 0.2500 0.5000
10 Pu 0.5000 0.5000 0.0000

Results
**Final energy**: -7.470 eV per atom

(3)
An optimized crystal structure of RbPuVO6. Source: Alexandria, functional PBE+U.

abc: 5.3524 5.3506 6.3583
angles: 89.99 89.97 59.98
Element x y z (fractional)
1 O 0.9899 0.6277 0.6676
2 O 0.6277 0.3822 0.6676
3 O 0.6276 0.9901 0.3323
4 O 0.3823 0.6278 0.3324
5 O 0.9900 0.3823 0.3324
6 O 0.3823 0.9901 0.6677
7 Rb 0.9999 0.0002 0.0000
8 Pu 0.3333 0.3333 0.5000
9 V 0.6667 0.6664 0.5000

Results
**Final energy**: -7.985 eV per atom

(4)
An optimized crystal structure of Rb2PuV2O6. Source: Alexandria, functional PBE+U.

abc: 6.1966 6.1966 6.9873
angles: 63.68 63.68 60.00
Element x y z (fractional)
1 O 0.7535 0.2654 0.2276
2 O 0.2465 0.2465 0.7724
3 O 0.2465 0.7346 0.7724
4 O 0.2654 0.7535 0.2276
5 O 0.7535 0.7535 0.2276
6 O 0.7346 0.2465 0.7724
7 Pu 0.0000 0.0000 0.0000
8 Rb 0.7824 0.7824 0.6529
9 Rb 0.2176 0.2176 0.3471
10 V 0.5716 0.5716 0.2852
11 V 0.4284 0.4284 0.7148

Results
**Final energy**: -7.569 eV per atom

(5)
An optimized crystal structure of Rb3PuV2O8. Source: Alexandria, functional PBE+U.

abc: 6.1282 6.1282 8.0472
angles: 90.00 90.00 120.00
Element x y z (fractional)
1 O 0.6667 0.3333 0.9520
2 O 0.3333 0.6667 0.0480
3 O 0.8249 0.6497 0.6678
4 O 0.1751 0.3503 0.3322
5 O 0.8249 0.1751 0.6678
6 O 0.6497 0.8249 0.3322
7 O 0.1751 0.8249 0.3322
8 O 0.3503 0.1751 0.6678
9 Rb 0.0000 0.0000 0.0000
10 Rb 0.6667 0.3333 0.2933
11 Rb 0.3333 0.6667 0.7067
12 Pu 0.0000 0.0000 0.5000
13 V 0.6667 0.3333 0.7425
14 V 0.3333 0.6667 0.2575

Results
**Final energy**: -7.332 eV per atom

(6)
An optimized crystal structure of Rb2PuWO6. Source: Alexandria, functional PBE+U.

abc: 5.9694 5.9694 5.9698
angles: 60.00 60.00 90.00
Element x y z (fractional)
1 Rb 0.7500 0.2500 0.5000
2 Rb 0.2500 0.7500 0.5000
3 O 0.7663 0.7663 0.4673
4 O 0.2337 0.2337 0.5327
5 O 0.7663 0.7663 0.0001
6 O 0.7663 0.2336 0.0000
7 O 0.2337 0.2337 0.9999
8 O 0.2337 0.7664 0.0000
9 Pu 0.5000 0.5000 0.0000
10 W 0.0000 0.0000 0.0000

Results
**Final energy**: -7.607 eV per atom